No. 1
Computed, not measured: crystalline UAlO3 at its relaxed geometry at the PBE level of DFT.

crystal system	cubic
density	9.7	Mg/m³

abc: 3.767 3.767 3.767
angles: 90.00 90.00 90.00
Space group Pm-3m (No. 221)
One atom of each set of equivalent atoms:
U 0.000 0.000 0.000
Al 0.500 0.500 0.500
O 0.000 0.500 0.500

---

No. 2
Computed, not measured: crystalline KHfGaI6 at its relaxed geometry at the PBE level of DFT.

crystal system	trigonal
density	4.2	Mg/m³

abc: 8.0392 8.0392 14.8826
angles: 90.00 90.00 120.00
Space group P-31c (No. 163)
One atom of each set of equivalent atoms:
K 0.0000 0.0000 0.0000
Hf 0.3333 0.6667 0.2500
Ga 0.3333 0.6667 0.7500
I 0.0367 0.3830 0.1390

---

No. 3
Computed, not measured: crystalline ZnCuBr at its relaxed geometry at the PBE level of DFT.

crystal system	orthorhombic
energy relative to the lowest polymorph listed for this composition	65	meV/atom
density	5.8	Mg/m³

abc: 10.759 3.492 6.317
angles: 90.00 90.00 90.00
Space group Amm2 (No. 38)
One atom of each set of equivalent atoms:
Zn 0.139 0.000 0.000
Cu 0.000 0.000 0.676
Cu 0.500 0.000 0.742
Br 0.342 0.000 0.437

---

No. 4
Computed, not measured: crystalline Li2SiAg8 at its relaxed geometry at the PBE level of DFT.

crystal system	monoclinic
density	7.9	Mg/m³

abc: 14.510 4.526 6.225
angles: 90.00 111.91 90.00
Space group C2/m (No. 12)
One atom of each set of equivalent atoms:
Li 0.196 0.000 0.176
Si 0.000 0.500 0.500
Ag 0.015 0.000 0.250
Ag 0.117 0.500 0.926
Ag 0.155 0.500 0.404
Ag 0.180 0.000 0.718

---

Number 1: formation energy (no corrections) -2.803 eV/atom. Number 2: formation energy (no corrections) -0.909 eV/atom. Number 3: formation energy (no corrections) 0.052 eV/atom. Number 4: formation energy (no corrections) -0.009 eV/atom.